## SmTmAlSn (PBE)

Data for SmTmAlSn after structural relaxation.

Computed properties:
The formation energy is -1.7 eV/f.u. The density of states at the Fermi level comes out at 0.626 states/eV/atom. Its mass density is 7.530 g/cm³. The value obtained for the uncorrected energy is -18.6 eV per cell.

Cell lengths 5.254, 5.254, 5.254 Å; angles 60.00, 60.00, 60.00 degrees
Sites, in units of the cell vectors:
Sm (0.000, 0.000, 0.000)
Tm (0.500, 0.500, 0.500)
Al (0.750, 0.750, 0.750)
Sn (0.250, 0.250, 0.250)

## SmYAlSn (PBE)

Data for SmYAlSn after structural relaxation.

Computed properties:
The formation energy is -2.5 eV/f.u. The density of states at the Fermi level comes out at 0.936 states/eV/atom. Its mass density is 5.866 g/cm³. The value obtained for the uncorrected energy is -21.4 eV per cell.

Cell lengths 4.231, 6.117, 6.117 Å; angles 43.51, 90.00, 90.00 degrees
Sites, in units of the cell vectors:
Sm (0.000, 0.000, 0.000)
Y (0.500, 0.279, 0.279)
Al (0.500, 0.557, 0.557)
Sn (0.000, 0.717, 0.717)

## Sr3SmAl8 (PBE)

Data for Sr3SmAl8 after structural relaxation.

Computed properties:
The formation energy is -3.7 eV/f.u. The density of states at the Fermi level comes out at 0.495 states/eV/atom. Its mass density is 3.798 g/cm³. The value obtained for the uncorrected energy is -43.4 eV per cell.

Cell lengths 10.064, 10.064, 10.064 Å; angles 33.40, 33.40, 33.40 degrees
Sites, in units of the cell vectors:
Sr (0.000, 0.000, 0.000)
Sr (0.125, 0.125, 0.125)
Sr (0.625, 0.625, 0.625)
Sm (0.500, 0.500, 0.500)
Al (0.061, 0.061, 0.560)
Al (0.061, 0.560, 0.061)
Al (0.067, 0.563, 0.563)
Al (0.312, 0.312, 0.312)
Al (0.560, 0.061, 0.061)
Al (0.563, 0.067, 0.563)
Al (0.563, 0.563, 0.067)
Al (0.813, 0.813, 0.813)

## SrSm2Al6 (PBE)

Data for SrSm2Al6 after structural relaxation.

Computed properties:
The formation energy is -3.3 eV/f.u. The density of states at the Fermi level comes out at 0.562 states/eV/atom. Its mass density is 4.401 g/cm³. The value obtained for the uncorrected energy is -36.9 eV per cell.

Cell lengths 8.037, 8.037, 3.711 Å; angles 90.00, 90.00, 120.00 degrees
Sites, in units of the cell vectors:
Sr (0.000, 0.000, 0.000)
Sm (0.333, 0.667, 0.000)
Sm (0.667, 0.333, 0.000)
Al (0.000, 0.337, 0.500)
Al (0.000, 0.663, 0.500)
Al (0.337, 0.000, 0.500)
Al (0.337, 0.337, 0.500)
Al (0.663, 0.000, 0.500)
Al (0.663, 0.663, 0.500)

## SrSmAl6 (PBE)

Data for SrSmAl6 after structural relaxation.

Computed properties:
The formation energy is -2.2 eV/f.u. The density of states at the Fermi level comes out at 0.409 states/eV/atom. Its mass density is 3.805 g/cm³. The value obtained for the uncorrected energy is -31.1 eV per cell.

Cell lengths 4.501, 6.167, 6.287 Å; angles 90.00, 90.00, 90.00 degrees
Sites, in units of the cell vectors:
Sr (0.000, 0.000, 0.000)
Sm (0.500, 0.500, 0.215)
Al (0.000, 0.253, 0.473)
Al (0.000, 0.500, 0.848)
Al (0.000, 0.747, 0.473)
Al (0.500, 0.000, 0.388)
Al (0.500, 0.270, 0.737)
Al (0.500, 0.730, 0.737)

## SrSmAl2 (PBE)

Data for SrSmAl2 after structural relaxation.

Computed properties:
The value obtained for the energy above the most stable polymorph in this dataset is 21.8 kJ/mol of formula units. The formation energy is -0.7 eV/f.u. The density of states at the Fermi level comes out at 0.915 states/eV/atom. Its mass density is 4.414 g/cm³. The value obtained for the uncorrected energy is -14.5 eV per cell.

Cell lengths 5.375, 5.375, 5.375 Å; angles 60.00, 60.00, 60.00 degrees
Sites, in units of the cell vectors:
Sr (0.000, 0.000, 0.000)
Sm (0.500, 0.500, 0.500)
Al (0.250, 0.250, 0.250)
Al (0.750, 0.750, 0.750)

## SrSmAl (PBE)

Data for SrSmAl after structural relaxation.

Computed properties:
The value obtained for the energy above the most stable polymorph in this dataset is 6.1 kJ/mol of formula units. The formation energy is -0.3 eV/f.u. The density of states at the Fermi level comes out at 0.878 states/eV/atom. Its mass density is 4.429 g/cm³. The value obtained for the uncorrected energy is -20.8 eV per cell.

Cell lengths 13.838, 3.789, 3.789 Å; angles 90.04, 90.00, 90.00 degrees
Sites, in units of the cell vectors:
Sr (0.151, 0.000, 0.000)
Sr (0.849, 0.000, 0.000)
Sm (0.376, 0.499, 0.499)
Sm (0.624, 0.499, 0.499)
Al (0.000, 0.500, 0.500)
Al (0.500, 0.999, 0.999)

## SrSmAl (PBE)

Data for SrSmAl after structural relaxation.

Computed properties:
The value obtained for the energy above the most stable polymorph in this dataset is 0.0 kJ/mol of formula units. The formation energy is -0.3 eV/f.u. The density of states at the Fermi level comes out at 0.728 states/eV/atom. Its mass density is 4.434 g/cm³. The value obtained for the uncorrected energy is -10.5 eV per cell.

Cell lengths 7.394, 7.394, 7.394 Å; angles 150.26, 150.26, 42.56 degrees
Sites, in units of the cell vectors:
Sr (0.000, 0.000, 0.000)
Sm (0.273, 0.273, 0.000)
Al (0.657, 0.657, 0.000)

## SrSm2Al9 (PBE)

Data for SrSm2Al9 after structural relaxation.

Computed properties:
The formation energy is -4.0 eV/f.u. The density of states at the Fermi level comes out at 0.384 states/eV/atom. Its mass density is 4.190 g/cm³. The value obtained for the uncorrected energy is -48.8 eV per cell.

Cell lengths 9.429, 9.429, 9.429 Å; angles 35.31, 35.31, 35.31 degrees
Sites, in units of the cell vectors:
Sr (0.000, 0.000, 0.000)
Sm (0.142, 0.142, 0.142)
Sm (0.858, 0.858, 0.858)
Al (0.076, 0.588, 0.588)
Al (0.336, 0.336, 0.336)
Al (0.412, 0.412, 0.924)
Al (0.412, 0.924, 0.412)
Al (0.500, 0.500, 0.500)
Al (0.588, 0.076, 0.588)
Al (0.588, 0.588, 0.076)
Al (0.664, 0.664, 0.664)
Al (0.924, 0.412, 0.412)

## SrSmAl (PBE)

Data for SrSmAl after structural relaxation.

Computed properties:
The value obtained for the energy above the most stable polymorph in this dataset is 1.2 kJ/mol of formula units. The formation energy is -0.3 eV/f.u. The density of states at the Fermi level comes out at 0.609 states/eV/atom. Its mass density is 4.078 g/cm³. The value obtained for the uncorrected energy is -20.9 eV per cell.

Cell lengths 5.211, 5.211, 9.175 Å; angles 90.00, 90.00, 120.00 degrees
Sites, in units of the cell vectors:
Sr (0.333, 0.667, 0.340)
Sr (0.667, 0.333, 0.660)
Sm (0.333, 0.667, 0.912)
Sm (0.667, 0.333, 0.088)
Al (0.000, 0.000, 0.148)
Al (0.000, 0.000, 0.852)

## SrSmAl2 (PBE)

Data for SrSmAl2 after structural relaxation.

Computed properties:
The value obtained for the energy above the most stable polymorph in this dataset is 0.0 kJ/mol of formula units. The formation energy is -0.9 eV/f.u. The density of states at the Fermi level comes out at 0.617 states/eV/atom. Its mass density is 4.386 g/cm³. The value obtained for the uncorrected energy is -14.8 eV per cell.

Cell lengths 3.785, 3.785, 7.714 Å; angles 90.00, 90.00, 90.00 degrees
Sites, in units of the cell vectors:
Sr (0.000, 0.000, 0.000)
Sm (0.000, 0.000, 0.500)
Al (0.500, 0.500, 0.277)
Al (0.500, 0.500, 0.723)

## Sr2SmAlTe5 (PBE)

Data for Sr2SmAlTe5 after structural relaxation.

Computed properties:
Its mass density is 5.305 g/cm³. The value obtained for the uncorrected energy is -78.3 eV per cell.

Cell lengths 10.348, 10.348, 13.888 Å; angles 90.00, 90.00, 155.36 degrees
Sites, in units of the cell vectors:
Sr (0.119, 0.881, 0.500)
Sr (0.121, 0.879, 0.144)
Sr (0.879, 0.121, 0.644)
Sr (0.881, 0.119, 0.000)
Sm (0.205, 0.795, 0.844)
Sm (0.795, 0.205, 0.344)
Al (0.439, 0.561, 0.247)
Al (0.561, 0.439, 0.747)
Te (0.043, 0.957, 0.857)
Te (0.295, 0.705, 0.499)
Te (0.314, 0.686, 0.180)
Te (0.357, 0.643, 0.823)
Te (0.500, 0.500, 0.083)
Te (0.500, 0.500, 0.583)
Te (0.643, 0.357, 0.323)
Te (0.686, 0.314, 0.680)
Te (0.705, 0.295, 0.999)
Te (0.957, 0.043, 0.357)

## SrSmAlTl (PBE)

Data for SrSmAlTl after structural relaxation.

Computed properties:
The formation energy is -1.0 eV/f.u. The density of states at the Fermi level comes out at 0.779 states/eV/atom. Its mass density is 6.604 g/cm³. The value obtained for the uncorrected energy is -13.5 eV per cell.

Cell lengths 5.506, 5.506, 5.506 Å; angles 60.00, 60.00, 60.00 degrees
Sites, in units of the cell vectors:
Sr (0.000, 0.000, 0.000)
Sm (0.500, 0.500, 0.500)
Al (0.250, 0.250, 0.250)
Tl (0.750, 0.750, 0.750)

## SrSmAlZn (PBE)

Data for SrSmAlZn after structural relaxation.

Computed properties:
The formation energy is -0.8 eV/f.u. The density of states at the Fermi level comes out at 0.804 states/eV/atom. Its mass density is 5.006 g/cm³. The value obtained for the uncorrected energy is -12.2 eV per cell.

Cell lengths 5.371, 5.371, 5.371 Å; angles 60.00, 60.00, 60.00 degrees
Sites, in units of the cell vectors:
Sr (0.000, 0.000, 0.000)
Sm (0.500, 0.500, 0.500)
Al (0.250, 0.250, 0.250)
Zn (0.750, 0.750, 0.750)

## SmTaAl2 (PBE)

Data for SmTaAl2 after structural relaxation.

Computed properties:
The formation energy is 0.2 eV/f.u. The density of states at the Fermi level comes out at 0.824 states/eV/atom. Its mass density is 7.815 g/cm³. The value obtained for the uncorrected energy is -23.9 eV per cell.

Cell lengths 10.195, 10.195, 10.195 Å; angles 17.31, 17.31, 17.31 degrees
Sites, in units of the cell vectors:
Sm (0.000, 0.000, 0.000)
Ta (0.500, 0.500, 0.500)
Al (0.241, 0.241, 0.241)
Al (0.759, 0.759, 0.759)

## SmTaAl4 (PBE)

Data for SmTaAl4 after structural relaxation.

Computed properties:
The formation energy is -1.6 eV/f.u. The density of states at the Fermi level comes out at 0.324 states/eV/atom. Its mass density is 6.629 g/cm³. The value obtained for the uncorrected energy is -33.1 eV per cell.

Cell lengths 5.379, 5.379, 5.379 Å; angles 60.00, 60.00, 60.00 degrees
Sites, in units of the cell vectors:
Sm (0.000, 0.000, 0.000)
Ta (0.250, 0.250, 0.250)
Al (0.127, 0.624, 0.624)
Al (0.624, 0.127, 0.624)
Al (0.624, 0.624, 0.127)
Al (0.624, 0.624, 0.624)

## Sm6Ta4Al43 (PBE)

Data for Sm6Ta4Al43 after structural relaxation.

Computed properties:
The formation energy is -16.6 eV/f.u. The density of states at the Fermi level comes out at 0.320 states/eV/atom. Its mass density is 4.771 g/cm³. The value obtained for the uncorrected energy is -506.4 eV per cell.

Cell lengths 11.171, 11.171, 17.945 Å; angles 90.00, 90.00, 120.00 degrees
Sites, in units of the cell vectors:
Sm (0.000, 0.471, 0.096)
Sm (0.000, 0.471, 0.404)
Sm (0.000, 0.529, 0.596)
Sm (0.000, 0.529, 0.904)
Sm (0.471, 0.000, 0.096)
Sm (0.471, 0.000, 0.404)
Sm (0.471, 0.471, 0.596)
Sm (0.471, 0.471, 0.904)
Sm (0.529, 0.000, 0.596)
Sm (0.529, 0.000, 0.904)
Sm (0.529, 0.529, 0.096)
Sm (0.529, 0.529, 0.404)
Ta (0.000, 0.000, 0.000)
Ta (0.000, 0.000, 0.500)
Ta (0.000, 0.272, 0.250)
Ta (0.000, 0.728, 0.750)
Ta (0.272, 0.000, 0.250)
Ta (0.272, 0.272, 0.750)
Ta (0.728, 0.000, 0.750)
Ta (0.728, 0.728, 0.250)
Al (0.000, 0.147, 0.750)
Al (0.000, 0.158, 0.115)
Al (0.000, 0.158, 0.385)
Al (0.000, 0.254, 0.529)
Al (0.000, 0.254, 0.971)
Al (0.000, 0.746, 0.029)
Al (0.000, 0.746, 0.471)
Al (0.000, 0.842, 0.615)
Al (0.000, 0.842, 0.885)
Al (0.000, 0.853, 0.250)
Al (0.147, 0.000, 0.750)
Al (0.147, 0.147, 0.250)
Al (0.149, 0.555, 0.250)
Al (0.149, 0.595, 0.750)
Al (0.158, 0.000, 0.115)
Al (0.158, 0.000, 0.385)
Al (0.158, 0.158, 0.615)
Al (0.158, 0.158, 0.885)
Al (0.158, 0.395, 0.664)
Al (0.158, 0.395, 0.836)
Al (0.158, 0.764, 0.164)
Al (0.158, 0.764, 0.336)
Al (0.236, 0.395, 0.164)
Al (0.236, 0.395, 0.336)
Al (0.236, 0.842, 0.664)
Al (0.236, 0.842, 0.836)
Al (0.247, 0.494, 0.000)
Al (0.247, 0.494, 0.500)
Al (0.247, 0.753, 0.000)
Al (0.247, 0.753, 0.500)
Al (0.254, 0.000, 0.529)
Al (0.254, 0.000, 0.971)
Al (0.254, 0.254, 0.029)
Al (0.254, 0.254, 0.471)
Al (0.333, 0.667, 0.126)
Al (0.333, 0.667, 0.374)
Al (0.333, 0.667, 0.626)
Al (0.333, 0.667, 0.874)
Al (0.395, 0.158, 0.664)
Al (0.395, 0.158, 0.836)
Al (0.395, 0.236, 0.164)
Al (0.395, 0.236, 0.336)
Al (0.405, 0.555, 0.750)
Al (0.405, 0.851, 0.250)
Al (0.445, 0.595, 0.250)
Al (0.445, 0.851, 0.750)
Al (0.494, 0.247, 0.000)
Al (0.494, 0.247, 0.500)
Al (0.506, 0.753, 0.000)
Al (0.506, 0.753, 0.500)
Al (0.555, 0.149, 0.250)
Al (0.555, 0.405, 0.750)
Al (0.595, 0.149, 0.750)
Al (0.595, 0.445, 0.250)
Al (0.605, 0.764, 0.664)
Al (0.605, 0.764, 0.836)
Al (0.605, 0.842, 0.164)
Al (0.605, 0.842, 0.336)
Al (0.667, 0.333, 0.126)
Al (0.667, 0.333, 0.374)
Al (0.667, 0.333, 0.626)
Al (0.667, 0.333, 0.874)
Al (0.746, 0.000, 0.029)
Al (0.746, 0.000, 0.471)
Al (0.746, 0.746, 0.529)
Al (0.746, 0.746, 0.971)
Al (0.753, 0.247, 0.000)
Al (0.753, 0.247, 0.500)
Al (0.753, 0.506, 0.000)
Al (0.753, 0.506, 0.500)
Al (0.764, 0.158, 0.164)
Al (0.764, 0.158, 0.336)
Al (0.764, 0.605, 0.664)
Al (0.764, 0.605, 0.836)
Al (0.842, 0.000, 0.615)
Al (0.842, 0.000, 0.885)
Al (0.842, 0.236, 0.664)
Al (0.842, 0.236, 0.836)
Al (0.842, 0.605, 0.164)
Al (0.842, 0.605, 0.336)
Al (0.842, 0.842, 0.115)
Al (0.842, 0.842, 0.385)
Al (0.851, 0.405, 0.250)
Al (0.851, 0.445, 0.750)
Al (0.853, 0.000, 0.250)
Al (0.853, 0.853, 0.750)

## Tb3SmAl (PBE)

Data for Tb3SmAl after structural relaxation.

Computed properties:
The value obtained for the energy above the most stable polymorph in this dataset is 0.0 kJ/mol of formula units. The formation energy is -0.7 eV/f.u. The density of states at the Fermi level comes out at 1.270 states/eV/atom. Its mass density is 7.381 g/cm³. The value obtained for the uncorrected energy is -46.1 eV per cell.

Cell lengths 6.751, 6.751, 12.517 Å; angles 94.57, 94.57, 31.18 degrees
Sites, in units of the cell vectors:
Tb (0.033, 0.033, 0.196)
Tb (0.142, 0.142, 0.449)
Tb (0.365, 0.365, 0.018)
Tb (0.635, 0.635, 0.982)
Tb (0.858, 0.858, 0.551)
Tb (0.967, 0.967, 0.804)
Sm (0.222, 0.222, 0.747)
Sm (0.778, 0.778, 0.253)
Al (0.452, 0.452, 0.382)
Al (0.548, 0.548, 0.618)

## TbSm3Al8 (PBE)

Data for TbSm3Al8 after structural relaxation.

Computed properties:
The value obtained for the energy above the most stable polymorph in this dataset is 10.7 kJ/mol of formula units. The formation energy is -6.0 eV/f.u. The density of states at the Fermi level comes out at 0.487 states/eV/atom. Its mass density is 5.441 g/cm³. The value obtained for the uncorrected energy is -54.8 eV per cell.

Cell lengths 5.612, 5.612, 9.241 Å; angles 90.00, 90.00, 120.00 degrees
Sites, in units of the cell vectors:
Tb (0.000, 0.000, 0.000)
Sm (0.000, 0.000, 0.364)
Sm (0.667, 0.333, 0.501)
Sm (0.667, 0.333, 0.864)
Al (0.162, 0.324, 0.683)
Al (0.162, 0.838, 0.683)
Al (0.333, 0.667, 0.431)
Al (0.333, 0.667, 0.933)
Al (0.504, 0.009, 0.180)
Al (0.504, 0.496, 0.180)
Al (0.676, 0.838, 0.683)
Al (0.991, 0.496, 0.180)

## Tb2SmAl2 (PBE)

Data for Tb2SmAl2 after structural relaxation.

Computed properties:
The value obtained for the energy above the most stable polymorph in this dataset is 121.1 kJ/mol of formula units. The formation energy is -0.3 eV/f.u. The density of states at the Fermi level comes out at 0.968 states/eV/atom. Its mass density is 6.158 g/cm³. The value obtained for the uncorrected energy is -43.4 eV per cell.

Cell lengths 8.659, 8.659, 5.543 Å; angles 90.00, 90.00, 137.34 degrees
Sites, in units of the cell vectors:
Tb (0.086, 0.914, 0.750)
Tb (0.301, 0.699, 0.250)
Tb (0.699, 0.301, 0.750)
Tb (0.914, 0.086, 0.250)
Sm (0.500, 0.500, 0.000)
Sm (0.500, 0.500, 0.500)
Al (0.093, 0.363, 0.750)
Al (0.363, 0.093, 0.250)
Al (0.637, 0.907, 0.750)
Al (0.907, 0.637, 0.250)